1.
12
Lattice="4.087 0.000 0.000 0.000 9.528 0.425 -2.043 -2.425 7.380" Properties=species:S:1:pos:R:3 comment="NdHo2Ag3S6 PBE relaxed" rho_g_cm3=5.638 final_energy_ev_per_atom=-5.23 pbc="T T T"
S 0.000 2.914 5.258
S 0.000 7.557 0.494
S 2.043 4.189 2.547
S 2.043 0.493 2.825
S 0.000 6.610 4.980
S 2.043 -0.455 7.311
Nd 2.043 0.000 0.000
Ho 0.000 2.407 2.598
Ho 2.043 4.696 5.207
Ag 2.043 4.764 0.212
Ag 2.043 -1.036 4.861
Ag 0.000 8.139 2.944



2.
18
Lattice="3.992 0.000 0.000 -1.996 8.329 0.000 0.000 0.000 12.084" Properties=species:S:1:pos:R:3 comment="Nd2HoAgS5 PBE relaxed" rho_g_cm3=5.965 final_energy_ev_per_atom=-5.86 pbc="T T T"
S 0.000 5.970 12.082
S 0.000 5.097 4.192
S 1.996 3.550 1.969
S 0.000 4.780 8.011
S 0.000 8.299 9.334
S 1.996 3.232 10.234
S 1.996 7.534 7.034
S 0.000 0.796 0.992
S 1.996 2.359 6.040
S 1.996 0.030 3.292
Ho 0.000 3.259 0.074
Ho 1.996 5.070 6.116
Nd 1.996 6.231 9.713
Nd 1.996 6.492 2.235
Nd 0.000 2.098 3.671
Nd 0.000 1.837 8.278
Ag 1.996 0.667 11.661
Ag 0.000 7.662 5.619



What did the first record say?
12
Lattice="4.087 0.000 0.000 0.000 9.528 0.425 -2.043 -2.425 7.380" Properties=species:S:1:pos:R:3 comment="NdHo2Ag3S6 PBE relaxed" rho_g_cm3=5.638 final_energy_ev_per_atom=-5.23 pbc="T T T"
S 0.000 2.914 5.258
S 0.000 7.557 0.494
S 2.043 4.189 2.547
S 2.043 0.493 2.825
S 0.000 6.610 4.980
S 2.043 -0.455 7.311
Nd 2.043 0.000 0.000
Ho 0.000 2.407 2.598
Ho 2.043 4.696 5.207
Ag 2.043 4.764 0.212
Ag 2.043 -1.036 4.861
Ag 0.000 8.139 2.944